## Y2NiGe2Rh5 (GGA-PBE)

Data for an optimized crystal structure of Y2NiGe2Rh5.

Lattice parameters (Å, degrees): 9.687 9.687 3.559 90.00 90.00 90.00
Fractional coordinates of all 20 atoms:
Y 0.173 0.327 0.000
Y 0.327 0.827 0.000
Y 0.673 0.173 0.000
Y 0.827 0.673 0.000
Ni 0.000 0.000 0.000
Ni 0.500 0.500 0.000
Ge 0.127 0.627 0.000
Ge 0.373 0.127 0.000
Ge 0.627 0.873 0.000
Ge 0.873 0.373 0.000
Rh 0.000 0.500 0.500
Rh 0.065 0.798 0.500
Rh 0.202 0.065 0.500
Rh 0.298 0.565 0.500
Rh 0.435 0.298 0.500
Rh 0.500 0.000 0.500
Rh 0.565 0.702 0.500
Rh 0.702 0.435 0.500
Rh 0.798 0.935 0.500
Rh 0.935 0.202 0.500

Output
**E**: -7.087 eV/atom
**V**: 16.69 Å³ per atom
**Formation enthalpy at 0 K**: -0.616 eV per atom
**Space-group type**: P4/mbm (127)